Below is a geometry-optimized HfVF2 structure, with properties calculated at the GGA+U level.

Calculated values
Energy: -5.73 eV per atom
Space-group type: Fm-3m, No. 225
DOS(E_F): 2.95 states/eV/cell
Total magnetic moment: 1.356 μB/atom
Energy relative to the lowest polymorph listed for this composition: 362 kJ/mol of formula units
Crystal system: cubic

Structure (extended XYZ):
```
4
Lattice="-2.323 -3.610 0.824 -4.119 0.329 1.425 -3.315 -1.112 -2.622" Properties=species:S:1:pos:R:3 pbc="T T T"
V 0.000 0.000 0.000
F -7.318 -3.294 -0.280
F -2.439 -1.098 -0.093
Hf -4.878 -2.196 -0.187
```